CsSe2BrCl: relaxed, PBE-GGA.

Computed properties:
- M_tot (μB/f.u.) = 1.61
- E_form (uncorrected) (kJ/mol of formula units) = -60
- electronic total energy (eV per cell) = -11.97

```
data_CsSe2BrCl
_space_group_name_H-M_alt 'P 4/m m m'
_space_group_IT_number 123
_space_group_name_Hall '-P 4 2'
_cell_length_a 5.038
_cell_length_b 5.038
_cell_length_c 7.772
_cell_angle_alpha 90.00
_cell_angle_beta 90.00
_cell_angle_gamma 90.00
loop_
_atom_site_label
_atom_site_type_symbol
_atom_site_fract_x
_atom_site_fract_y
_atom_site_fract_z
_atom_site_occupancy
Cs1 Cs 0.000 0.000 0.000 1
Se1 Se 0.000 0.500 0.500 1
Br1 Br 0.500 0.500 0.000 1
Cl1 Cl 0.500 0.500 0.500 1
```